This record from the Alexandria database describes BeTl2Re at its PBEsol-relaxed geometry. The functional is SCAN.

Output
Energy of formation from the pure elements   1.0065 eV/atom
E   -216.1 eV/cell
Fermi-level density of states   2.24 states/eV/cell
Energy above the lowest structure with this stoichiometry   1.55 eV/f.u.

Cell: 3.094 3.094 8.621 Å, 79.66 79.66 60.00°
Positions (direct):
Tl: 0.744 0.744 0.767
Tl: 0.256 0.256 0.233
Re: 0.500 0.500 0.500
Be: 0.000 0.000 0.000

=====

This record from the Alexandria database describes LiY2Re at its PBEsol-relaxed geometry. The functional is SCAN.

Output
Energy of formation from the pure elements   0.0606 eV/atom
E   -128.9 eV/cell
Fermi-level density of states   3.20 states/eV/cell

Cell: 3.418 3.418 7.958 Å, 90.00 90.00 90.00°
Positions (direct):
Y: 0.000 0.000 0.296
Y: 0.000 0.000 0.704
Re: 0.500 0.500 0.500
Li: 0.500 0.500 0.000

=====

This record from the Alexandria database describes BeAgSb2 at its PBEsol-relaxed geometry. The functional is SCAN.

Output
E   -108.6 eV/cell
Formation energy (no corrections)   417 meV per atom
Fermi-level density of states   1.55 states/eV/cell

Cell: 3.264 3.264 7.872 Å, 90.00 90.00 106.75°
Positions (direct):
Sb: 0.000 0.000 0.218
Sb: 0.000 0.000 0.782
Ag: 0.500 0.500 0.500
Be: 0.500 0.500 0.000

=====

This record from the Alexandria database describes Hf3AsS at its PBEsol-relaxed geometry. The functional is SCAN.

Output
E   -218.6 eV/cell
Formation energy (no corrections)   -161 meV per atom
Fermi-level density of states   3.23 states/eV/cell

Cell: 4.676 4.676 4.676 Å, 90.00 90.00 90.00°
Positions (direct):
S: 0.000 0.000 0.000
Hf: 0.000 0.500 0.000
Hf: 0.000 0.000 0.500
Hf: 0.500 0.000 0.000
As: 0.500 0.500 0.500

=====

This record from the Alexandria database describes CaMg3B at its PBEsol-relaxed geometry. The functional is SCAN.

Output
Energy of formation from the pure elements   0.2220 eV/atom
E   -30.9 eV/cell
Fermi-level density of states   2.97 states/eV/cell

Cell: 4.735 4.735 4.735 Å, 90.00 90.00 90.00°
Positions (direct):
Mg: 0.000 0.500 0.000
Mg: 0.000 0.000 0.500
Mg: 0.500 0.000 0.000
Ca: 0.500 0.500 0.500
B: 0.000 0.000 0.000

=====

This record from the Alexandria database describes MnCoIr at its PBEsol-relaxed geometry. The functional is SCAN.

Output
Energy of formation from the pure elements   0.2339 eV/atom
E   -106.0 eV/cell
Fermi-level density of states   3.04 states/eV/cell

Cell: 3.993 3.993 3.993 Å, 60.00 60.00 60.00°
Positions (direct):
Co: 0.500 0.500 0.500
Ir: 0.250 0.250 0.250
Mn: 0.000 0.000 0.000

=====

This record from the Alexandria database describes Cd2TcSe at its PBEsol-relaxed geometry. The functional is SCAN.

Output
E   -113.7 eV/cell
Formation energy (no corrections)   560 meV per atom
Fermi-level density of states   1.90 states/eV/cell

Cell: 4.684 4.684 4.684 Å, 60.00 60.00 60.00°
Positions (direct):
Se: 0.500 0.500 0.500
Tc: 0.750 0.750 0.750
Cd: 0.250 0.250 0.250
Cd: 0.000 0.000 0.000

=====

This record from the Alexandria database describes MgAl2Te at its PBEsol-relaxed geometry. The functional is SCAN.

Output
E   -57.0 eV/cell
Formation energy (no corrections)   181 meV per atom
Fermi-level density of states   2.12 states/eV/cell
Energy above the lowest structure with this stoichiometry   0.44 eV/f.u.

Cell: 4.949 4.949 4.949 Å, 60.00 60.00 60.00°
Positions (direct):
Al: 0.000 0.000 0.000
Al: 0.750 0.750 0.750
Te: 0.250 0.250 0.250
Mg: 0.500 0.500 0.500

=====

Question: Which value of Fermi-level density of states does entry 1 give?
Answer: 2.24 states/eV/cell